(1)
Material: NaCa2HgIr
Method: DFT, GGA-PBE
State: optimized geometry

Geometry as POSCAR:
```
NaCa2HgIr
1.0
5.4295 0.0000 0.0000
0.0000 5.4295 0.0000
0.0000 0.0000 5.4065
Ca Hg Ir Na
2 1 1 1
Cartesian
2.7148 0.0000 0.0000
0.0000 2.7148 0.0000
0.0000 0.0000 2.7032
0.0000 0.0000 0.0000
2.7148 2.7148 2.7032
```

Summary:
* space-group type: P4/mmm (123)
* E: -15.243 eV for the cell shown


(2)
Material: Li2Er2TmGa2
Method: DFT, GGA-PBE
State: optimized geometry

Geometry as POSCAR:
```
Li2Er2TmGa2
1.0
-3.0401 0.4745 3.3573
-2.6398 -3.5132 1.1947
4.0950 -3.5468 7.2980
Li Er Ga Tm
2 2 2 1
Cartesian
-2.6668 -2.4996 4.1157
1.0818 -4.0858 7.7343
1.8343 -2.5902 5.1157
-3.4193 -3.9952 6.7343
-0.9712 -5.0311 9.0975
-0.6138 -1.5543 2.7525
0.0000 0.0000 0.0000
```

Summary:
* space-group type: R-3m (166)
* E: -25.367 eV for the cell shown


(3)
Material: LaCe3Pm2Se6
Method: DFT, GGA-PBE
State: optimized geometry

Geometry as POSCAR:
```
LaCe3Pm2Se6
1.0
7.2994 -0.0036 -0.0019
-3.6510 6.3206 -0.0019
-1.2178 -2.1086 6.9212
Se La Ce Pm
6 1 3 2
Cartesian
3.6631 2.0746 5.1732
2.4642 -0.0012 1.7442
2.4153 4.1820 1.7281
0.0152 0.0264 5.1893
-1.2326 2.1338 1.7442
-0.0337 4.2096 5.1732
0.0000 0.0000 0.0000
-2.4516 4.2220 3.4587
4.8822 -0.0136 3.4587
1.2153 2.1042 3.4587
3.6532 2.1022 -0.0019
-0.0049 4.2148 -0.0019
```

Summary:
* space-group type: C2/m (12)
* formation energy from raw total energies: -1.8586 eV/atom


(4)
Material: Pm8AlGa2
Method: DFT, GGA-PBE
State: optimized geometry

Geometry as POSCAR:
```
Pm8AlGa2
1.0
4.8147 0.0000 -1.4653
-1.2679 7.3353 -4.1662
0.0810 0.1135 8.9090
Pm Al Ga
8 1 2
Cartesian
4.0285 5.1304 4.5942
3.1097 6.3925 1.5751
2.0856 6.5107 -1.7899
0.5181 1.0563 1.7024
2.6496 3.2477 0.0634
0.9782 4.2011 3.2141
-0.4007 2.3184 -1.3166
1.5422 0.9381 5.0675
2.4074 0.0000 -0.7327
0.0792 5.1220 0.2604
3.5486 2.3268 3.0171
```

Summary:
* space-group type: Immm (71)
* E: -50.180 eV for the cell shown


(5)
Material: TbHo4Se7
Method: DFT, GGA-PBE
State: optimized geometry

Geometry as POSCAR:
```
TbHo4Se7
1.0
-2.4112 -0.2347 3.1273
5.8488 -3.3523 1.7559
2.4031 11.6177 2.7249
Ho Se Tb
4 7 1
Cartesian
3.2323 0.0900 2.4989
0.0043 0.0046 0.0037
2.0615 4.1130 1.8982
2.6121 7.9416 5.1121
2.2689 8.8462 2.4134
-0.0014 5.6706 2.9266
3.9404 5.7547 3.4700
5.4484 8.6731 4.8519
1.8747 2.2851 4.1190
0.3993 -0.6433 2.7616
3.5807 -0.8045 5.2024
3.7783 3.9135 5.7089
```

Summary:
* space-group type: Cm (8)
* formation energy from raw total energies: -1.8516 eV/atom


(6)
Material: TmInBr6
Method: DFT, GGA-PBE
State: optimized geometry

Geometry as POSCAR:
```
TmInBr6
1.0
-6.4988 1.3271 -1.4784
-3.2679 1.4548 5.7785
-0.1191 7.2665 2.0997
Tm In Br
1 1 6
Cartesian
-4.8834 1.3909 2.1500
0.0000 0.0000 0.0000
-7.3087 2.0810 3.2120
-3.6271 3.2707 3.8051
-6.2587 6.7776 2.5946
-4.6010 6.8471 6.3503
-2.4580 0.7008 1.0881
-5.2848 3.2012 0.0494
```

Summary:
* space-group type: C2/m (12)
* formation energy from raw total energies: -1.2655 eV/atom


(7)
Material: LiZn2AsN
Method: DFT, GGA-PBE
State: optimized geometry

Geometry as POSCAR:
```
LiZn2AsN
1.0
-0.7033 -0.7053 -3.8687
-2.8714 -3.9701 1.2458
-3.2119 2.3707 0.1517
Zn N Li As
2 1 1 1
Cartesian
-1.6059 1.1853 0.0759
-0.3517 -0.3527 -1.9344
0.0000 0.0000 0.0000
-3.3933 -1.1524 -1.2356
-1.4357 -1.9851 0.6229
```

Summary:
* space-group type: P4/mmm (123)
* formation energy from raw total energies: 0.2985 eV/atom


(8)
Material: TaBiSb3
Method: DFT, GGA-PBE
State: optimized geometry

Geometry as POSCAR:
```
TaBiSb3
1.0
5.3837 0.0000 0.0000
0.0000 5.3837 0.0000
0.0000 0.0000 5.3837
Ta Bi Sb
1 1 3
Cartesian
0.0000 0.0000 0.0000
2.6919 2.6919 2.6919
0.0000 2.6919 0.0000
0.0000 0.0000 2.6919
2.6919 0.0000 0.0000
```

Summary:
* space-group type: Pm-3m (221)
* formation energy from raw total energies: 0.4876 eV/atom
* energy above the most stable polymorph in this dataset: 0.00 eV/f.u.


(9)
Material: MgBiSb2
Method: DFT, GGA-PBE
State: optimized geometry

Geometry as POSCAR:
```
MgBiSb2
1.0
-0.6036 4.2368 0.1447
-3.2528 1.6232 2.2628
3.0878 2.3719 6.7889
Sb Bi Mg
2 1 1
Cartesian
-0.5036 6.1809 6.9969
-0.2649 2.0510 2.1995
-0.3843 4.1160 4.5982
0.0000 0.0000 0.0000
```

Summary:
* space-group type: R-3m (166)
* formation energy from raw total energies: -0.0441 eV/atom
* energy above the most stable polymorph in this dataset: 0.00 eV/f.u.


(10)
Material: CsK3Au
Method: DFT, GGA-PBE
State: optimized geometry

Geometry as POSCAR:
```
CsK3Au
1.0
6.7494 0.0000 0.0000
0.0000 6.7494 0.0000
0.0000 0.0000 6.7494
K Cs Au
3 1 1
Cartesian
3.3747 0.0000 0.0000
0.0000 3.3747 0.0000
0.0000 0.0000 3.3747
3.3747 3.3747 3.3747
0.0000 0.0000 0.0000
```

Summary:
* space-group type: Pm-3m (221)
* energy above the most stable polymorph in this dataset: 0.07 eV/f.u.


(11)
Material: NbAu4
Method: DFT, GGA-PBE
State: optimized geometry

Geometry as POSCAR:
```
NbAu4
1.0
11.9864 -0.0363 -0.0212
11.6275 2.9116 -0.0212
11.6275 1.4158 2.5443
Au Nb
4 1
Cartesian
28.1884 3.4323 2.0012
14.0637 1.7124 0.9984
21.1776 2.5786 1.5035
7.0529 0.8588 0.5007
0.0000 0.0000 0.0000
```

Summary:
* space-group type: R-3m (166)
* E: -23.148 eV for the cell shown


(12)
Material: Tb2Nd2Tl
Method: DFT, GGA-PBE
State: optimized geometry

Geometry as POSCAR:
```
Tb2Nd2Tl
1.0
-6.8552 -4.1850 -3.1636
-1.3428 -2.2745 -5.8586
-0.5743 -9.1242 0.1083
Tl Nd Tb
2 4 4
Cartesian
-2.0496 -2.2128 -4.4086
-6.1484 -4.2467 -4.6136
-2.1505 -6.3543 -0.7780
-5.2789 -6.9550 -2.2774
-4.2263 -3.5781 -1.9079
-3.2032 -9.7312 -1.1474
-7.2360 -7.4403 -5.1627
-3.2590 -5.3957 -4.7080
-1.5362 -8.1435 -3.7513
-5.5133 -10.1881 -4.2060
```

Summary:
* space-group type: C2/m (12)
* energy above the most stable polymorph in this dataset: 0.22 eV/f.u.


(13)
Material: CuOsBr6
Method: DFT, GGA-PBE
State: optimized geometry

Geometry as POSCAR:
```
CuOsBr6
1.0
-2.9505 -1.2457 -7.0253
-7.3904 -1.6042 -1.2494
-4.8376 4.8707 -1.1508
Cu Br Os
1 6 1
Cartesian
0.0000 0.0000 0.0000
-4.3502 0.3264 -5.7663
-6.6576 0.1354 -2.8156
-8.5209 1.8855 -6.6099
-10.8283 1.6945 -3.6592
-3.3074 -0.9117 -2.6488
-7.0334 -1.9382 -5.6259
-5.1704 -1.4249 -4.1373
```

Summary:
* space-group type: C2/m (12)
* formation energy from raw total energies: -0.1591 eV/atom
* energy above the most stable polymorph in this dataset: 0.00 eV/f.u.


(14)
Material: NaAgAu2
Method: DFT, GGA-PBE
State: optimized geometry

Geometry as POSCAR:
```
NaAgAu2
1.0
3.3411 0.0000 0.0000
0.0000 3.3411 0.0000
0.0000 0.0000 7.0433
Au Na Ag
2 1 1
Cartesian
0.0000 0.0000 1.6249
0.0000 0.0000 5.4185
1.6706 1.6706 3.5217
1.6706 1.6706 0.0000
```

Summary:
* space-group type: P4/mmm (123)
* energy above the most stable polymorph in this dataset: 0.23 eV/f.u.


(15)
Material: NaNiN
Method: DFT, GGA-PBE
State: optimized geometry

Geometry as POSCAR:
```
NaNiN
1.0
3.6347 0.0000 0.0000
0.0000 3.6347 0.0000
0.0000 0.0000 3.4189
N Ni Na
1 1 1
Cartesian
1.8174 1.8174 0.0000
1.8174 1.8174 1.7095
0.0000 0.0000 0.0000
```

Summary:
* space-group type: P4/mmm (123)
* formation energy from raw total energies: 0.0229 eV/atom
* energy above the most stable polymorph in this dataset: 0.02 eV/f.u.


(16)
Material: Li2Dy2TmIn2
Method: DFT, GGA-PBE
State: optimized geometry

Geometry as POSCAR:
```
Li2Dy2TmIn2
1.0
-2.3744 -4.1974 0.0618
1.5466 -3.6043 2.8066
-5.3234 0.3515 7.5287
Dy Li In Tm
2 2 2 1
Cartesian
-3.4006 -0.7731 5.0249
-2.7507 -6.6771 5.3722
-1.4582 -4.6711 3.0924
-4.6931 -2.7791 7.3047
-4.8124 -5.4713 8.0569
-1.3389 -1.9789 2.3402
0.0000 0.0000 0.0000
```

Summary:
* space-group type: R-3m (166)
* E: -24.476 eV for the cell shown


(17)
Material: GdDyMgGe
Method: DFT, GGA-PBE
State: optimized geometry

Geometry as POSCAR:
```
GdDyMgGe
1.0
-2.1779 1.1689 4.5243
-5.1358 0.1127 0.4360
-2.4379 -3.6484 2.7064
Dy Ge Mg Gd
1 1 1 1
Cartesian
0.0000 0.0000 0.0000
-7.3137 -1.7750 5.7501
-2.4379 -0.5917 1.9167
-4.8758 -1.1834 3.8334
```

Summary:
* space-group type: F-43m (216)
* E: -26.351 eV for the cell shown


(18)
Material: CaTa
Method: DFT, GGA-PBE
State: optimized geometry

Geometry as POSCAR:
```
CaTa
1.0
-3.5798 -0.2625 -4.0680
1.2524 -4.4723 2.8040
-4.5936 1.1995 3.9650
Ca Ta
2 2
Cartesian
-5.4143 -0.7661 1.1964
-1.5067 -2.7692 1.5046
-3.1175 -1.3659 -0.7861
-3.8035 -2.1694 3.4871
```

Summary:
* space-group type: P6_3/mmc (194)
* energy above the most stable polymorph in this dataset: 4.57 eV/f.u.


(19)
Material: Tl2Ga2S5
Method: DFT, GGA-PBE
State: optimized geometry

Geometry as POSCAR:
```
Tl2Ga2S5
1.0
-0.9835 3.4656 -2.7629
-2.8570 -5.3906 -2.0145
-6.3036 2.7560 5.7009
Ga Tl S
2 2 5
Cartesian
-6.5820 1.1739 3.8155
-3.5622 -0.3429 -2.8921
-3.6065 2.0276 0.0970
-6.5377 -1.1966 0.8264
-7.7205 3.3272 3.1917
0.0000 0.0000 0.0000
-5.2798 0.1618 -1.6476
-2.4236 -2.4962 -2.2683
-4.8643 0.6692 2.5710
```

Summary:
* space-group type: C2/m (12)
* formation energy from raw total energies: -0.2270 eV/atom


(20)
Material: Tm3As2C
Method: DFT, GGA-PBE
State: optimized geometry

Geometry as POSCAR:
```
Tm3As2C
1.0
5.6480 0.0000 0.0000
0.0000 7.3966 0.0027
-2.8240 -1.8497 6.0243
Tm As C
6 4 2
Cartesian
2.8217 1.8489 4.3560
0.0023 3.6979 1.6710
3.0190 5.5474 0.0020
-0.0023 -0.0003 1.6697
2.8263 5.5472 4.3574
2.6290 1.8491 0.0007
2.8201 -0.0006 2.1122
-0.0039 1.8492 3.9135
2.8279 3.6977 2.1135
0.0039 5.5475 3.9149
5.4602 5.5474 0.0020
0.1878 1.8491 0.0007
```

Summary:
* space-group type: C2/c (15)
* E: -74.979 eV for the cell shown


(21)
Material: TlSeO2
Method: DFT, GGA-PBE
State: optimized geometry

Geometry as POSCAR:
```
TlSeO2
1.0
0.8470 -1.0859 4.1017
-1.8415 -3.5109 1.7328
2.3964 -3.4980 0.8610
O Se Tl
2 1 1
Cartesian
1.0515 -6.0712 5.0217
0.3505 -2.0237 1.6739
0.0000 0.0000 0.0000
0.7010 -4.0475 3.3478
```

Summary:
* space-group type: Fm-3m (225)
* formation energy from raw total energies: 0.4593 eV/atom
* energy above the most stable polymorph in this dataset: 4.57 eV/f.u.


(22)
Material: Pm12Co6Pt
Method: DFT, GGA-PBE
State: optimized geometry

Geometry as POSCAR:
```
Pm12Co6Pt
1.0
0.1160 1.9297 -8.2664
-1.0031 -8.3778 0.9364
-6.4369 4.0589 3.7633
Pm Pt Co
12 1 6
Cartesian
-2.0685 0.5636 -2.7565
-4.5923 2.9548 -4.5546
-5.2783 2.9494 0.6615
-3.4454 -0.1502 0.5491
-2.7317 -5.3440 0.9878
-2.0457 -5.3386 -4.2282
-3.8786 -2.2391 -4.1158
-5.6325 0.3747 -2.2653
-6.4161 -1.8747 2.4256
-0.9080 -0.5146 -5.9923
-1.6915 -2.7640 -1.3015
-5.2556 -2.9529 -0.8102
0.0000 0.0000 0.0000
-4.0055 2.5037 -1.7178
-1.1615 -2.5439 -4.1765
-3.3185 -4.8930 -1.8489
-6.1626 0.1546 0.6098
-3.5032 0.5026 -5.0840
-3.8208 -2.8919 1.5173
```

Summary:
* space-group type: Im-3 (204)
* E: -109.146 eV for the cell shown


(23)
Material: Ho2Ge2O7
Method: DFT, GGA-PBE
State: optimized geometry

Geometry as POSCAR:
```
Ho2Ge2O7
1.0
-5.9369 -2.7746 2.6504
-0.5717 -6.9978 0.8206
0.0005 -2.8098 6.4865
Ho O Ge
4 14 4
Cartesian
-4.0675 -7.8639 6.2234
-3.7817 -4.3650 5.8131
-4.0678 -6.4590 2.9802
-1.0991 -6.4766 4.8982
-0.5351 -4.5767 3.4369
-1.6633 -6.7102 2.5128
-2.9515 -4.5623 1.8757
-4.8450 -4.2057 3.5980
-2.7186 -2.8579 4.1816
-4.8447 -5.8720 7.4446
-3.2540 -6.2911 4.9787
-0.3025 -1.7288 3.1030
-1.3240 -4.2266 5.8729
-1.6630 -8.3765 6.3595
-2.7189 -1.7144 1.5418
-0.5354 -3.4332 0.7971
-4.8810 -9.4366 7.4681
-5.1840 -8.3556 4.0846
-3.7819 -2.9601 2.5699
-0.8132 -2.9777 4.4879
-1.0993 -5.0717 1.6550
-0.8135 -1.5728 1.2447
```

Summary:
* space-group type: Fd-3m (227)
* formation energy from raw total energies: -2.6167 eV/atom
* energy above the most stable polymorph in this dataset: 0.09 eV/f.u.


(24)
Material: ScMn2Au
Method: DFT, GGA-PBE
State: optimized geometry

Geometry as POSCAR:
```
ScMn2Au
1.0
5.3390 -0.0138 -0.0019
-2.2642 4.5673 0.0148
0.6435 0.6785 2.7660
Mn Sc Au
2 1 1
Cartesian
-0.8103 2.6229 1.3904
0.0000 0.0000 0.0000
1.5374 2.2767 0.0065
2.9913 0.3323 1.3821
```

Summary:
* space-group type: C2/m (12)
* E: -27.576 eV for the cell shown


| no. | DOS(E_F) (states/eV/atom) | mass density (g/cm³) |
| --- | --- | --- |
| 1 | 0.23 | 5.17 |
| 2 | 0.64 | 6.98 |
| 3 | 1.67 | 6.88 |
| 4 | 1.09 | 6.93 |
| 5 | 0.15 | 7.31 |
| 6 | 0.00 | 4.28 |
| 7 | 0.33 | 4.67 |
| 8 | 1.20 | 8.04 |
| 9 | 0.54 | 6.71 |
| 10 | 0.71 | 2.41 |
| 11 | 0.88 | 16.14 |
| 12 | 1.01 | 8.45 |
| 13 | 0.44 | 4.24 |
| 14 | 0.17 | 11.08 |
| 15 | 0.27 | 3.52 |
| 16 | 0.74 | 6.91 |
| 17 | 0.86 | 7.14 |
| 18 | 1.98 | 4.66 |
| 19 | 0.51 | 4.88 |
| 20 | 0.49 | 8.82 |
| 21 | 0.87 | 9.14 |
| 22 | 0.73 | 8.07 |
| 23 | 0.00 | 7.81 |
| 24 | 1.25 | 8.68 |